! Sn4Au, relaxed, DFT PBE; values from VASP
! Formation energy   -0.073 eV per atom
! D(E_F)   2.75 states/eV/f.u.
! Polymorph energy (0 for the lowest one)   0.0000 eV/atom
! Total magnetic moment   0.0 μB/cell
&SYSTEM
  ibrav = 0, nat = 10, ntyp = 2
/
ATOMIC_SPECIES
Sn 118.71 Sn.upf
Au 196.97 Au.upf
CELL_PARAMETERS angstrom
3.2947 -6.0440 0.0000
3.2947 6.0440 0.0000
0.0000 0.0000 6.5746
ATOMIC_POSITIONS crystal
Sn 0.0462 0.2833 0.0802
Sn 0.2167 0.4538 0.5802
Sn 0.2833 0.0462 0.5802
Sn 0.4538 0.2167 0.0802
Sn 0.5462 0.7833 0.9198
Sn 0.7167 0.9538 0.4198
Sn 0.7833 0.5462 0.4198
Sn 0.9538 0.7167 0.9198
Au 0.2500 0.7500 0.2500
Au 0.7500 0.2500 0.7500